# ScCrCo2Br | Alexandria | PBE | relaxed
# total moment = 1.994 μB per cell
# raw total energy = -4.633 eV per atom
# mass density = 4.85 g cm⁻³
# N(E_F) = 5.995 states/eV per cell
data_ScCrCo2Br
_cell_length_a 4.5736
_cell_length_b 4.8192
_cell_length_c 4.5736
_cell_angle_alpha 90.00
_cell_angle_beta 90.00
_cell_angle_gamma 90.00
_space_group_name_H-M_alt 'P 1'
_space_group_IT_number 1
loop_
_space_group_symop_operation_xyz
'x,y,z'
loop_
_atom_site_label
_atom_site_type_symbol
_atom_site_fract_x
_atom_site_fract_y
_atom_site_fract_z
Co1 Co 0.5000 0.0000 0.0000
Co2 Co 0.0000 0.0000 0.5000
Cr1 Cr 0.0000 0.5000 0.0000
Br1 Br 0.5000 0.5000 0.5000
Sc1 Sc 0.0000 0.0000 0.0000